No. 1
Computed, not measured: a crystal of AgPt2Rh relaxed with PBEsol at the meta-GGA SCAN level of DFT.

```
AgPt2Rh
1.0
2.742 0.000 0.000
0.000 2.742 0.000
0.000 0.000 7.957
Ag Pt Rh
1 2 1
Direct
0.000 0.000 0.000
0.500 0.500 0.265
0.500 0.500 0.735
0.000 0.000 0.500
```

- volume (Å³/atom) = 14.96
- space group = P4/mmm (123)


No. 2
Computed, not measured: a crystal of AgPt2Rh relaxed with PBEsol at the meta-GGA SCAN level of DFT.

```
AgPt2Rh
1.0
-1.954 1.954 3.893
1.954 -1.954 3.893
1.954 1.954 -3.893
Ag Pt Rh
1 2 1
Direct
0.000 0.000 0.000
0.250 0.750 0.500
0.750 0.250 0.500
0.500 0.500 0.000
```

- volume (Å³/atom) = 14.86
- space group = I4/mmm (139)


No. 3
Computed, not measured: a crystal of AgPt2Rh relaxed with PBEsol at the meta-GGA SCAN level of DFT.

```
AgPt2Rh
1.0
1.369 0.790 9.180
-1.369 0.790 9.180
0.000 -1.580 9.180
Ag Pt Rh
1 2 1
Direct
0.000 0.000 0.000
0.247 0.247 0.247
0.753 0.753 0.753
0.500 0.500 0.500
```

- volume (Å³/atom) = 14.89
- space group = R-3m (166)


Result set for DOS(E_F): 4.23, 4.19, 4.12 states/eV/cell, one per record in the order listed.
Result set for DFT formation energy: 0.01, 0.32, 0.03 eV/f.u., one per record in the order listed.
Result set for energy above the most stable polymorph in this dataset: 0.00, 0.32, 0.02 eV per formula unit, one per record in the order listed.